No. 1
Material: Ba3Ga2Sn7
Method: DFT, PBE
State: optimized geometry

The formation energy is -0.395 eV per atom. The value obtained for the density of states at the Fermi level is 5.862 states/eV/cell. For the total energy, the calculation gives -3.7153 eV per atom.

Unit cell a=5.048 b=4.735 c=15.912 alpha=97.07 beta=90.00 gamma=90.00
Element x y z (fractional)
Sn (0.500, 0.928, 0.834)
Sn (0.000, 0.417, 0.833)
Sn (0.500, 0.273, 0.554)
Sn (0.000, 0.000, 0.000)
Sn (0.500, 0.727, 0.446)
Sn (0.000, 0.583, 0.167)
Sn (0.500, 0.072, 0.166)
Ga (0.500, 0.384, 0.732)
Ga (0.500, 0.616, 0.268)
Ba (0.000, 0.181, 0.363)
Ba (0.000, 0.819, 0.637)
Ba (0.500, 0.500, 0.000)

---

No. 2
Material: TcS2Br
Method: DFT, PBE
State: optimized geometry

The value obtained for the density of states at the Fermi level is 5.060 states/eV/cell. For the total energy, the calculation gives -5.0888 eV per atom.

Unit cell a=6.495 b=6.495 c=6.627 alpha=60.66 beta=60.66 gamma=90.00
Element x y z (fractional)
Br (0.500, 0.500, 0.000)
Br (0.250, 0.750, 0.500)
S (0.736, 0.125, 0.250)
S (0.014, 0.625, 0.250)
S (0.375, 0.264, 0.750)
S (0.875, 0.986, 0.750)
Tc (0.750, 0.250, 0.500)
Tc (0.000, 0.000, 0.000)

---

No. 3
Material: Sm3Th
Method: DFT, PBE
State: optimized geometry

The formation energy is 0.028 eV per atom. The value obtained for the density of states at the Fermi level is 5.989 states/eV/cell. For the total energy, the calculation gives -5.3667 eV per atom.

Unit cell a=3.619 b=3.619 c=11.962 alpha=81.30 beta=81.30 gamma=60.00
Element x y z (fractional)
Sm (0.748, 0.748, 0.756)
Sm (0.500, 0.500, 0.500)
Sm (0.252, 0.252, 0.244)
Th (0.000, 0.000, 0.000)

---

No. 4
Material: BeMo2Rh
Method: DFT, PBE
State: optimized geometry

The formation energy is 0.166 eV per atom. The value obtained for the density of states at the Fermi level is 4.456 states/eV/cell. For the total energy, the calculation gives -8.0186 eV per atom.

Unit cell a=8.781 b=8.781 c=8.781 alpha=17.99 beta=17.99 gamma=17.99
Element x y z (fractional)
Rh (0.250, 0.250, 0.250)
Mo (0.497, 0.497, 0.497)
Mo (0.003, 0.003, 0.003)
Be (0.750, 0.750, 0.750)